Entry 1:
Here is a relaxed structure of CrPdO2 from the Alexandria database. Energies are from PBEsol. Values from VASP.

Quantum ESPRESSO input file:
```
&SYSTEM
  ibrav = 0, nat = 4, ntyp = 3
/
ATOMIC_SPECIES
Cr 52.00 Cr.upf
Pd 106.42 Pd.upf
O 16.00 O.upf
CELL_PARAMETERS angstrom
1.460 0.843 5.975
-1.460 0.843 5.975
0.000 -1.685 5.975
ATOMIC_POSITIONS crystal
Cr 0.000 0.000 0.000
Pd 0.500 0.500 0.500
O 0.389 0.389 0.389
O 0.611 0.611 0.611
```

Computed properties:
Magnetic moment   2.84 μB/f.u.
Calculated density   7.2 g/cm³
Calculated total energy   -8.010 eV/atom
Space group   R-3m (166)



Entry 2:
Here is a relaxed structure of CrPd3O from the Alexandria database. Energies are from PBEsol. Values from VASP.

Quantum ESPRESSO input file:
```
&SYSTEM
  ibrav = 0, nat = 5, ntyp = 3
/
ATOMIC_SPECIES
Cr 52.00 Cr.upf
Pd 106.42 Pd.upf
O 16.00 O.upf
CELL_PARAMETERS angstrom
4.438 0.000 0.000
0.000 4.438 0.000
0.000 0.000 4.438
ATOMIC_POSITIONS crystal
Cr 0.000 0.000 0.000
Pd 0.000 0.000 0.500
Pd 0.000 0.500 0.000
Pd 0.500 0.000 0.000
O 0.500 0.500 0.500
```

Computed properties:
Magnetic moment   1.17 μB/f.u.
Calculated density   7.4 g/cm³
Calculated total energy   -5.212 eV/atom
Space group   Pm-3m (221)



Entry 3:
Here is a relaxed structure of CrPtO2 from the Alexandria database. Energies are from PBEsol. Values from VASP.

Quantum ESPRESSO input file:
```
&SYSTEM
  ibrav = 0, nat = 4, ntyp = 3
/
ATOMIC_SPECIES
Cr 52.00 Cr.upf
Pt 195.08 Pt.upf
O 16.00 O.upf
CELL_PARAMETERS angstrom
1.451 0.838 6.029
-1.451 0.838 6.029
0.000 -1.675 6.029
ATOMIC_POSITIONS crystal
Cr 0.000 0.000 0.000
Pt 0.500 0.500 0.500
O 0.389 0.389 0.389
O 0.611 0.611 0.611
```

Computed properties:
Magnetic moment   2.96 μB/f.u.
Calculated density   10.5 g/cm³
Calculated total energy   -8.218 eV/atom
Space group   R-3m (166)



Entry 4:
Here is a relaxed structure of Sr2CrPtO from the Alexandria database. Energies are from PBEsol. Values from VASP.

Quantum ESPRESSO input file:
```
&SYSTEM
  ibrav = 0, nat = 5, ntyp = 4
/
ATOMIC_SPECIES
Sr 87.62 Sr.upf
Cr 52.00 Cr.upf
Pt 195.08 Pt.upf
O 16.00 O.upf
CELL_PARAMETERS angstrom
5.111 0.000 0.000
0.000 5.111 0.000
0.000 0.000 3.906
ATOMIC_POSITIONS crystal
Sr 0.000 0.500 0.000
Sr 0.500 0.000 0.000
Cr 0.000 0.000 0.500
Pt 0.500 0.500 0.500
O 0.000 0.000 0.000
```

Computed properties:
Magnetic moment   4.07 μB/f.u.
Calculated density   7.1 g/cm³
Calculated total energy   -6.197 eV/atom
Space group   P4/mmm (123)



Entry 5:
Here is a relaxed structure of RbCrO2 from the Alexandria database. Energies are from PBEsol. Values from VASP.

Quantum ESPRESSO input file:
```
&SYSTEM
  ibrav = 0, nat = 4, ntyp = 3
/
ATOMIC_SPECIES
Rb 85.47 Rb.upf
Cr 52.00 Cr.upf
O 16.00 O.upf
CELL_PARAMETERS angstrom
1.551 0.896 6.873
-1.551 0.896 6.873
0.000 -1.791 6.873
ATOMIC_POSITIONS crystal
Rb 0.000 0.000 0.000
Cr 0.500 0.500 0.500
O 0.121 0.121 0.121
O 0.879 0.879 0.879
```

Computed properties:
Magnetic moment   2.91 μB/f.u.
Calculated density   4.9 g/cm³
Calculated total energy   -6.799 eV/atom
Space group   R-3m (166)



Entry 6:
Here is a relaxed structure of RbCrO2 from the Alexandria database. Energies are from PBEsol. Values from VASP.

Quantum ESPRESSO input file:
```
&SYSTEM
  ibrav = 0, nat = 4, ntyp = 3
/
ATOMIC_SPECIES
Rb 85.47 Rb.upf
Cr 52.00 Cr.upf
O 16.00 O.upf
CELL_PARAMETERS angstrom
1.552 0.896 6.108
-1.552 0.896 6.108
0.000 -1.793 6.108
ATOMIC_POSITIONS crystal
Rb 0.000 0.000 0.000
Cr 0.500 0.500 0.500
O 0.219 0.219 0.219
O 0.781 0.781 0.781
```

Computed properties:
Magnetic moment   3.00 μB/f.u.
Calculated density   5.5 g/cm³
Calculated total energy   -7.096 eV/atom
Space group   R-3m (166)